80
Lattice="-8.289 8.289 8.289 8.289 -8.289 8.289 8.289 8.289 -8.289" Properties=species:S:1:pos:R:3 comment="La3Pb5S12, optimized geometry, DFT PBE-GGA" e_form_raw_ev_per_atom=-0.90 energy_ev_per_fu=-100.91 pbc="T T T"
La 4.145 2.072 0.000
La 8.289 4.145 -2.072
La 2.072 0.000 4.145
La 10.362 0.000 4.145
La 0.000 4.145 2.072
La 4.145 -2.072 8.289
La 4.145 10.362 0.000
La 8.289 4.145 6.217
La -2.072 8.289 4.145
La 6.217 8.289 4.145
La 0.000 4.145 10.362
La 4.145 6.217 8.289
Pb 0.000 0.000 0.000
Pb 4.145 4.145 -4.145
Pb 4.145 -4.145 4.145
Pb 8.289 0.000 0.000
Pb 12.434 2.072 0.000
Pb 8.289 -4.145 6.217
Pb 6.217 8.289 -4.145
Pb 6.217 0.000 4.145
Pb 4.145 6.217 0.000
Pb 8.289 4.145 2.072
Pb -4.145 4.145 4.145
Pb 0.000 8.289 0.000
Pb 0.000 0.000 8.289
Pb 4.145 4.145 4.145
Pb 0.000 4.145 6.217
Pb 4.145 2.072 8.289
Pb 2.072 8.289 4.145
Pb 2.072 0.000 12.434
Pb 0.000 12.434 2.072
Pb -4.145 6.217 8.289
S 2.595 -0.295 1.138
S 9.839 5.282 -4.440
S 10.884 0.295 1.138
S 9.839 -3.007 4.440
S 7.994 -1.138 2.595
S 12.729 -1.550 3.007
S 1.138 2.595 -0.295
S 11.296 3.850 -1.550
S 5.282 4.440 -1.550
S 7.152 2.595 0.295
S -0.295 1.138 2.595
S 4.440 -1.550 5.282
S 7.994 7.152 -2.595
S 4.440 1.550 3.007
S 5.282 -4.440 9.839
S 7.152 -2.595 7.994
S 3.007 4.440 1.550
S 9.427 5.694 0.295
S 4.440 9.839 -3.007
S 7.994 1.138 5.694
S 2.595 7.994 -1.138
S 9.839 3.007 3.850
S 1.550 3.007 4.440
S 2.595 0.295 7.152
S 5.694 7.994 1.138
S 6.740 5.282 3.850
S -1.550 5.282 4.440
S 5.694 0.295 9.427
S 0.295 7.152 2.595
S 3.850 -1.550 11.296
S -1.138 2.595 7.994
S 5.282 3.850 6.740
S 1.138 10.884 0.295
S 3.007 12.729 -1.550
S 3.850 6.740 5.282
S 0.295 1.138 10.884
S 3.850 9.839 3.007
S 8.584 7.152 5.694
S 1.138 5.694 7.994
S 3.007 3.850 9.839
S -3.007 4.440 9.839
S 7.152 5.694 8.584
S -4.440 9.839 5.282
S 0.295 9.427 5.694
S -1.550 11.296 3.850
S -2.595 7.994 7.152
S -1.550 3.007 12.729
S 5.694 8.584 7.152

***

18
Lattice="9.697 0.000 0.000 -4.848 8.398 0.000 0.000 0.000 7.100" Properties=species:S:1:pos:R:3 comment="La5Pb3S, optimized geometry, DFT PBE-GGA" e_form_raw_ev_per_atom=-1.01 energy_ev_per_fu=-48.96 pbc="T T T"
La -1.172 2.031 1.775
La -3.676 6.367 5.325
La 2.345 0.000 1.775
La 1.172 2.031 5.325
La 0.000 5.599 0.000
La 0.000 5.599 3.550
La 4.848 2.799 0.000
La 4.848 2.799 3.550
La 7.352 0.000 5.325
La 3.676 6.367 1.775
Pb -1.919 3.324 5.325
Pb -2.929 5.074 1.775
Pb 3.838 0.000 5.325
Pb 1.919 3.324 1.775
Pb 5.859 0.000 1.775
Pb 2.929 5.074 5.325
S 0.000 0.000 0.000
S 0.000 0.000 3.550

***

10
Lattice="7.861 0.000 0.000 0.000 7.861 0.000 0.000 0.000 5.186" Properties=species:S:1:pos:R:3 comment="La2Pb2S, optimized geometry, DFT PBE-GGA" e_form_raw_ev_per_atom=-0.93 energy_ev_per_fu=-26.07 pbc="T T T"
La 1.380 2.551 0.000
La 2.551 6.481 0.000
La 5.310 1.380 0.000
La 6.481 5.310 0.000
Pb 1.059 4.990 2.593
Pb 2.871 1.059 2.593
Pb 4.990 6.802 2.593
Pb 6.802 2.871 2.593
S 0.000 0.000 0.000
S 3.931 3.931 0.000